Entry 1:
A relaxed HfCOF2 crystal, computed with PBE-GGA.

The structure in CIF format:
```
data_HfCOF2
_space_group_name_H-M_alt 'P 1'
_space_group_IT_number 1
_cell_length_a 4.149
_cell_length_b 4.149
_cell_length_c 4.032
_cell_angle_alpha 90.00
_cell_angle_beta 90.00
_cell_angle_gamma 90.00
loop_
_space_group_symop_operation_xyz
'x,y,z'
loop_
_atom_site_label
_atom_site_type_symbol
_atom_site_fract_x
_atom_site_fract_y
_atom_site_fract_z
_atom_site_occupancy
C1 C 0.500 0.500 0.500 1
Hf1 Hf 0.000 0.000 0.000 1
O1 O 0.000 0.000 0.500 1
F1 F 0.000 0.500 0.000 1
F2 F 0.500 0.000 0.000 1
```

Properties
* formation energy (no corrections): -1.3250 eV/atom
* space group: No. 123
* spin magnetization: 0.400 μB/atom
* excess energy over the best structure of this formula in the dataset: 0.0000 eV/atom
* total DFT energy (no corrections): -6.90 eV per atom

=====

Entry 2:
A relaxed Rb2HfCF6 crystal, computed with PBE-GGA.

The structure in CIF format:
```
data_Rb2HfCF6
_space_group_name_H-M_alt 'P 1'
_space_group_IT_number 1
_cell_length_a 6.480
_cell_length_b 6.480
_cell_length_c 6.751
_cell_angle_alpha 61.32
_cell_angle_beta 61.32
_cell_angle_gamma 90.00
loop_
_space_group_symop_operation_xyz
'x,y,z'
loop_
_atom_site_label
_atom_site_type_symbol
_atom_site_fract_x
_atom_site_fract_y
_atom_site_fract_z
_atom_site_occupancy
C1 C 0.500 0.500 0.000 1
Hf1 Hf 0.000 0.000 0.000 1
Rb1 Rb 0.750 0.250 0.500 1
Rb2 Rb 0.250 0.750 0.500 1
F1 F 0.202 0.202 0.595 1
F2 F 0.798 0.798 0.405 1
F3 F 0.218 0.218 0.000 1
F4 F 0.782 0.782 0.000 1
F5 F 0.782 0.218 0.000 1
F6 F 0.218 0.782 0.000 1
```

Properties
* formation energy (no corrections): -2.2853 eV/atom
* space group: No. 139
* spin magnetization: 0.200 μB/atom
* total DFT energy (no corrections): -5.52 eV per atom

=====

Entry 3:
A relaxed Hf2ScCF crystal, computed with PBE-GGA.

The structure in CIF format:
```
data_Hf2ScCF
_space_group_name_H-M_alt 'P 1'
_space_group_IT_number 1
_cell_length_a 4.136
_cell_length_b 4.982
_cell_length_c 4.136
_cell_angle_alpha 90.00
_cell_angle_beta 90.00
_cell_angle_gamma 90.00
loop_
_space_group_symop_operation_xyz
'x,y,z'
loop_
_atom_site_label
_atom_site_type_symbol
_atom_site_fract_x
_atom_site_fract_y
_atom_site_fract_z
_atom_site_occupancy
Sc1 Sc 0.500 0.500 0.500 1
C1 C 0.000 0.500 0.000 1
Hf1 Hf 0.000 0.000 0.500 1
Hf2 Hf 0.500 0.000 0.000 1
F1 F 0.000 0.000 0.000 1
```

Properties
* formation energy (no corrections): 0.2127 eV/atom
* space group: No. 123
* spin magnetization: 0.000 μB/atom
* total DFT energy (no corrections): -7.25 eV per atom

=====

Entry 4:
A relaxed SrHf2CF crystal, computed with PBE-GGA.

The structure in CIF format:
```
data_SrHf2CF
_space_group_name_H-M_alt 'P 1'
_space_group_IT_number 1
_cell_length_a 4.257
_cell_length_b 7.120
_cell_length_c 4.257
_cell_angle_alpha 90.00
_cell_angle_beta 90.00
_cell_angle_gamma 90.00
loop_
_space_group_symop_operation_xyz
'x,y,z'
loop_
_atom_site_label
_atom_site_type_symbol
_atom_site_fract_x
_atom_site_fract_y
_atom_site_fract_z
_atom_site_occupancy
Sr1 Sr 0.500 0.500 0.500 1
C1 C 0.000 0.000 0.000 1
Hf1 Hf 0.000 0.000 0.500 1
Hf2 Hf 0.500 0.000 0.000 1
F1 F 0.000 0.500 0.000 1
```

Properties
* formation energy (no corrections): -0.4137 eV/atom
* space group: No. 123
* spin magnetization: 0.178 μB/atom
* total DFT energy (no corrections): -6.95 eV per atom

=====

Entry 5:
A relaxed Hf2TiCF crystal, computed with PBE-GGA.

The structure in CIF format:
```
data_Hf2TiCF
_space_group_name_H-M_alt 'P 1'
_space_group_IT_number 1
_cell_length_a 4.404
_cell_length_b 4.517
_cell_length_c 4.404
_cell_angle_alpha 90.00
_cell_angle_beta 90.00
_cell_angle_gamma 90.00
loop_
_space_group_symop_operation_xyz
'x,y,z'
loop_
_atom_site_label
_atom_site_type_symbol
_atom_site_fract_x
_atom_site_fract_y
_atom_site_fract_z
_atom_site_occupancy
C1 C 0.000 0.000 0.000 1
F1 F 0.000 0.500 0.000 1
Hf1 Hf 0.000 0.000 0.500 1
Hf2 Hf 0.500 0.000 0.000 1
Ti1 Ti 0.500 0.500 0.500 1
```

Properties
* formation energy (no corrections): 0.2369 eV/atom
* space group: No. 123
* spin magnetization: 0.000 μB/atom
* total DFT energy (no corrections): -7.54 eV per atom

=====

The highest formation energy (no corrections) belongs to which entry? Hf2TiCF

=====

Which value of formation energy (no corrections) does entry 2 give? -2.2853 eV/atom